This record from Alexandria via LeMat-Bulk describes an optimized crystal structure of CaAsIO2. The functional is GGA-PBE.

Unit cell a=4.343 b=4.343 c=6.285 alpha=90.00 beta=90.00 gamma=90.00
Positions (direct):
I 0.000 0.000 0.500
As 0.500 0.500 0.500
Ca 0.000 0.000 0.000
O 0.000 0.500 0.000
O 0.500 0.000 0.000

Results
DOS(E_F) ... 8.40 states/eV/cell
Density ... 3.84 g/cm³
Uncorrected formation energy ... -167 meV/atom
VASP energy ... -3.79 eV/atom



This record from Alexandria via LeMat-Bulk describes an optimized crystal structure of CaAsIO2. The functional is GGA-PBE.

Unit cell a=4.220 b=4.220 c=5.481 alpha=90.00 beta=90.00 gamma=90.00
Positions (direct):
I 0.000 0.000 0.500
As 0.000 0.000 0.000
Ca 0.500 0.500 0.500
O 0.000 0.500 0.000
O 0.500 0.000 0.000

Results
DOS(E_F) ... 0.24 states/eV/cell
Density ... 4.66 g/cm³
Uncorrected formation energy ... -744 meV/atom
VASP energy ... -4.37 eV/atom



The highest uncorrected formation energy belongs to which entry? number 1



Repeat the first record exactly.
This record from Alexandria via LeMat-Bulk describes an optimized crystal structure of CaAsIO2. The functional is GGA-PBE.

Unit cell a=4.343 b=4.343 c=6.285 alpha=90.00 beta=90.00 gamma=90.00
Positions (direct):
I 0.000 0.000 0.500
As 0.500 0.500 0.500
Ca 0.000 0.000 0.000
O 0.000 0.500 0.000
O 0.500 0.000 0.000

Results
DOS(E_F) ... 8.40 states/eV/cell
Density ... 3.84 g/cm³
Uncorrected formation energy ... -167 meV/atom
VASP energy ... -3.79 eV/atom



Which of these has the highest density? number 2



The highest uncorrected formation energy belongs to which entry? number 1